VASP calculation (GGA+U) on NaMoNO2 after structural relaxation.

Summary:
Total moment = 0.000 μB per formula unit
Total DFT energy (no corrections) = -4.308 eV per atom

Cell lengths 4.004, 4.004, 4.051 Å; angles 90.00, 90.00, 90.00 degrees
Atoms (fractional coordinates):
Na  0.000  0.000  0.000
Mo  0.500  0.500  0.500
N  0.000  0.000  0.500
O  0.000  0.500  0.000
O  0.500  0.000  0.000